# 1
Compound: Li2ZrPd
Source: the Alexandria database
Functional: PBE
Structure: relaxed

Properties
**Offset from the most stable computed form**: 7 meV/atom
**Size of the total moment**: 0.2 μB/f.u.
**Calculated formation energy**: -3.84 kJ/mol of atoms
**E_tot**: -4.43 eV per atom

Cell lengths 3.809, 3.809, 10.631 Å; angles 79.68, 79.68, 90.00 degrees
Each line ends with the local moment (μB).
Fractional positions:
Zr 0.500 0.500 0.000  0.12
Zr 0.250 0.750 0.500  0.12
Pd 0.000 0.000 0.000  0.00
Pd 0.750 0.250 0.500  0.00
Li 0.662 0.125 0.250  0.01
Li 0.088 0.625 0.250  0.01
Li 0.375 0.338 0.750  0.01
Li 0.875 0.912 0.750  0.01


# 2
Compound: LiZrPd6
Source: the Alexandria database
Functional: PBE
Structure: relaxed

Properties
**Offset from the most stable computed form**: 317 meV/atom
**Size of the total moment**: 0.0 μB/f.u.
**Calculated formation energy**: -22.51 kJ/mol of atoms
**E_tot**: -5.44 eV per atom

Cell lengths 4.770, 4.770, 7.095 Å; angles 74.07, 74.07, 69.35 degrees
Fractional positions:
Li 0.500 0.500 0.500
Zr 0.000 0.000 0.000
Pd 0.049 0.528 0.303
Pd 0.528 0.049 0.303
Pd 0.472 0.951 0.697
Pd 0.951 0.472 0.697
Pd 0.370 0.370 0.921
Pd 0.630 0.630 0.079


# 3
Compound: Li3ZrPd
Source: the Alexandria database
Functional: PBE
Structure: relaxed

Properties
**Offset from the most stable computed form**: 0 meV/atom
**Size of the total moment**: 1.1 μB/f.u.
**Calculated formation energy**: 33.65 kJ/mol of atoms
**E_tot**: -3.55 eV per atom

Cell lengths 4.510, 4.510, 4.510 Å; angles 90.00, 90.00, 90.00 degrees
Each line ends with the local moment (μB).
Fractional positions:
Zr 0.500 0.500 0.500  0.57
Pd 0.000 0.000 0.000  0.04
Li 0.000 0.500 0.000  0.00
Li 0.000 0.000 0.500  0.01
Li 0.500 0.000 0.000  0.00